6
Lattice="0.000 4.565 4.565 4.565 0.000 4.565 4.565 4.565 0.000" Properties=species:S:1:pos:R:3 comment="KIn4Br, optimized geometry, DFT PBE" sg="F-43m, No. 216" e_form_raw_ev_per_atom=-0.16 pbc="T T T"
K 6.848 6.848 6.848
In 5.707 3.423 5.707
In 3.423 5.707 5.707
In 5.707 5.707 3.423
In 3.423 3.423 3.423
Br 0.000 0.000 0.000